The following is a DFT calculation (PBE-GGA) of Tl2MoW after structural relaxation.

Cell: 6.3009 6.3009 4.9408 Å, 69.61 69.61 28.48°
Sites, in units of the cell vectors:
Mo 0.2114 0.2114 0.3099
W 0.5441 0.5441 0.4354
Tl 0.9796 0.9796 0.9974
Tl 0.7649 0.7649 0.7573

Output
Density of states at the Fermi level, states/eV/atom: 0.961
Final energy, eV/atom: -6.297
SG: No. 8
E above lowest polymorph, eV/f.u.: 1.154
Crystal system: monoclinic
Total magnetization, μB per formula unit: 0.000
DFT formation energy, eV per atom: 0.83

=====

The following is a DFT calculation (PBE-GGA) of TlMo2W after structural relaxation.

Cell: 2.8714 2.8714 9.2427 Å, 90.00 90.00 110.97°
Sites, in units of the cell vectors:
Tl 0.5000 0.5000 0.2500
W 0.5000 0.5000 0.7500
Mo 0.0000 0.0000 0.5209
Mo 0.0000 0.0000 0.9791

Output
Density of states at the Fermi level, states/eV/atom: 0.458
Final energy, eV/atom: -8.807
SG: No. 65
E above lowest polymorph, eV/f.u.: 0.000
Crystal system: orthorhombic
Total magnetization, μB per formula unit: 0.000
DFT formation energy, eV per atom: 0.44

=====

The following is a DFT calculation (PBE-GGA) of Tl3MoW after structural relaxation.

Cell: 5.3628 5.3628 5.3628 Å, 90.00 90.00 90.00°
Site moments in Bohr magnetons follow the coordinates.
Sites, in units of the cell vectors:
Tl 0.0000 0.0000 0.5000  -0.02
Tl 0.5000 0.0000 0.0000  0.02
Tl 0.0000 0.5000 0.0000  -0.03
Mo 0.5000 0.5000 0.5000  3.83
W 0.0000 0.0000 0.0000  -0.21

Output
Density of states at the Fermi level, states/eV/atom: 0.575
Final energy, eV/atom: -4.552
SG: No. 221
E above lowest polymorph, eV/f.u.: 0.000
Crystal system: cubic
Total magnetization, μB per formula unit: 4.423
DFT formation energy, eV per atom: 1.62

=====

The following is a DFT calculation (PBE-GGA) of TlMo2W after structural relaxation.

Cell: 9.2806 9.2806 9.2806 Å, 18.73 18.73 18.73°
Sites, in units of the cell vectors:
Tl 0.5008 0.5008 0.5008
Mo 0.9987 0.9987 0.9987
Mo 0.2581 0.2581 0.2581
W 0.7423 0.7423 0.7423

Output
Density of states at the Fermi level, states/eV/atom: 1.093
Final energy, eV/atom: -8.574
SG: No. 160
E above lowest polymorph, eV/f.u.: 0.934
Crystal system: trigonal
Total magnetization, μB per formula unit: 0.000
DFT formation energy, eV per atom: 0.67

=====

The following is a DFT calculation (PBE-GGA) of TlMo3W after structural relaxation.

Cell: 4.8013 4.8013 4.8013 Å, 90.00 90.00 90.00°
Sites, in units of the cell vectors:
W 0.0000 0.0000 0.0000
Mo 0.0000 0.0000 0.5000
Mo 0.5000 0.0000 0.0000
Mo 0.0000 0.5000 0.0000
Tl 0.5000 0.5000 0.5000

Output
Density of states at the Fermi level, states/eV/atom: 1.153
Final energy, eV/atom: -7.860
SG: No. 221
E above lowest polymorph, eV/f.u.: 0.000
Crystal system: cubic
Total magnetization, μB per formula unit: 0.000
DFT formation energy, eV per atom: 1.70

=====

The following is a DFT calculation (PBE-GGA) of Tl2MoW after structural relaxation.

Cell: 9.8172 9.8172 9.8172 Å, 19.01 19.01 19.01°
Sites, in units of the cell vectors:
Tl 0.7568 0.7568 0.7568
Tl 0.9929 0.9929 0.9929
Mo 0.2374 0.2374 0.2374
W 0.5129 0.5129 0.5129

Output
Density of states at the Fermi level, states/eV/atom: 0.385
Final energy, eV/atom: -6.586
SG: No. 160
E above lowest polymorph, eV/f.u.: 0.000
Crystal system: trigonal
Total magnetization, μB per formula unit: 0.000
DFT formation energy, eV per atom: 0.54